No. 1
Here is a PBEsol-optimized structure of LaAu4 from Alexandria via LeMat-Bulk. Energies are from SCAN.

Computed properties:
Magnetization in μB per formula unit: 0.00
Formation energy from the elements in eV/atom: 0.202

Cell and atoms, written as POSCAR:
```
LaAu4
1.0
-3.242 3.242 3.242
3.242 -3.242 3.242
3.242 3.242 -3.242
La Au
1 4
Direct
0.000 0.000 0.000
0.000 0.000 0.500
0.000 0.500 0.000
0.500 0.000 0.000
0.500 0.500 0.500
```


No. 2
Here is a PBEsol-optimized structure of La3Au from Alexandria via LeMat-Bulk. Energies are from SCAN.

Computed properties:
Magnetization in μB per formula unit: 0.00
Formation energy from the elements in eV/atom: -0.506

Cell and atoms, written as POSCAR:
```
La3Au
1.0
-1.835 5.479 2.948
1.835 -5.479 2.948
1.835 5.479 -2.948
La Au
3 1
Direct
0.000 0.000 0.000
0.381 0.588 0.793
0.794 0.588 0.207
0.418 0.918 0.500
```


No. 3
Here is a PBEsol-optimized structure of LaAu22 from Alexandria via LeMat-Bulk. Energies are from SCAN.

Computed properties:
Magnetization in μB per formula unit: 0.00
Formation energy from the elements in eV/atom: -0.072

Cell and atoms, written as POSCAR:
```
LaAu22
1.0
0.000 7.476 7.476
7.476 0.000 7.476
7.476 7.476 0.000
La Au
2 44
Direct
0.125 0.125 0.125
0.875 0.875 0.875
0.000 0.000 0.000
0.000 0.000 0.500
0.000 0.500 0.000
0.000 0.500 0.500
0.058 0.321 0.321
0.058 0.321 0.799
0.058 0.799 0.321
0.201 0.679 0.679
0.201 0.679 0.942
0.201 0.942 0.679
0.236 0.236 0.514
0.236 0.514 0.236
0.236 0.514 0.514
0.321 0.058 0.321
0.321 0.058 0.799
0.321 0.321 0.058
0.321 0.321 0.799
0.321 0.799 0.058
0.321 0.799 0.321
0.486 0.486 0.764
0.486 0.764 0.486
0.486 0.764 0.764
0.500 0.000 0.000
0.500 0.000 0.500
0.500 0.500 0.000
0.500 0.500 0.500
0.514 0.236 0.236
0.514 0.236 0.514
0.514 0.514 0.236
0.679 0.201 0.679
0.679 0.201 0.942
0.679 0.679 0.201
0.679 0.679 0.942
0.679 0.942 0.201
0.679 0.942 0.679
0.764 0.486 0.486
0.764 0.486 0.764
0.764 0.764 0.486
0.799 0.058 0.321
0.799 0.321 0.058
0.799 0.321 0.321
0.942 0.201 0.679
0.942 0.679 0.201
0.942 0.679 0.679
```


No. 4
Here is a PBEsol-optimized structure of LaAu2 from Alexandria via LeMat-Bulk. Energies are from SCAN.

Computed properties:
Magnetization in μB per formula unit: 0.00
Formation energy from the elements in eV/atom: -0.905

Cell and atoms, written as POSCAR:
```
LaAu2
1.0
1.953 -7.038 0.000
1.953 7.038 0.000
0.000 0.000 5.053
La Au
2 4
Direct
0.107 0.893 0.750
0.893 0.107 0.250
0.225 0.775 0.250
0.435 0.565 0.750
0.565 0.435 0.250
0.775 0.225 0.750
```


No. 5
Here is a PBEsol-optimized structure of LaAu from Alexandria via LeMat-Bulk. Energies are from SCAN.

Computed properties:
Magnetization in μB per formula unit: 0.00
Formation energy from the elements in eV/atom: -0.992

Cell and atoms, written as POSCAR:
```
LaAu
1.0
5.545 -1.964 0.000
5.545 1.964 0.000
-2.703 0.000 7.534
La Au
3 3
Direct
0.000 0.000 0.000
0.654 0.654 0.693
0.833 0.833 0.347
0.124 0.124 0.394
0.285 0.285 0.015
0.376 0.376 0.682
```


No. 6
Here is a PBEsol-optimized structure of La3Au from Alexandria via LeMat-Bulk. Energies are from SCAN.

Computed properties:
Magnetization in μB per formula unit: 0.86
Formation energy from the elements in eV/atom: -0.407

Cell and atoms, written as POSCAR:
```
La3Au
1.0
3.840 0.000 0.000
-1.920 3.326 0.000
0.000 0.000 10.173
La Au
3 1
Direct
0.000 0.000 0.000
0.667 0.333 0.295
0.667 0.333 0.705
0.000 0.000 0.500
```